Entry 1:
DFT (GGA-PBE) results for a geometry-optimized BaSn3As structure.

Summary:
As for the formation enthalpy at 0 K: 1.307 eV/atom. As for the total moment: 0.00 μB per cell. The calculation puts the energy above the most stable polymorph in this dataset at 1.3278 eV/atom. The energy comes out at -2.409 eV/atom.

```
data_BaSn3As
_chemical_formula_sum 'Ba1 Sn3 As1'
_cell_length_a 6.160
_cell_length_b 6.160
_cell_length_c 6.160
_cell_angle_alpha 90.00
_cell_angle_beta 90.00
_cell_angle_gamma 90.00
_symmetry_space_group_name_H-M 'P m -3 m'
_symmetry_Int_Tables_number 221
_symmetry_space_group_name_Hall '-P 4 2 3'
loop_
_atom_site_label
_atom_site_type_symbol
_atom_site_fract_x
_atom_site_fract_y
_atom_site_fract_z
Ba1 Ba 0.000 0.000 0.000
Sn1 Sn 0.000 0.000 0.500
As1 As 0.500 0.500 0.500
```

Entry 2:
DFT (GGA-PBE) results for a geometry-optimized BeTcCl2 structure.

Summary:
As for the total moment: 0.00 μB per cell. The calculation puts the energy above the most stable polymorph in this dataset at 0.0000 eV/atom. As for the uncorrected formation energy: -253.4 meV per atom. The energy comes out at -4.700 eV/atom.

```
data_BeTcCl2
_chemical_formula_sum 'Be1 Tc1 Cl2'
_cell_length_a 3.265
_cell_length_b 3.007
_cell_length_c 7.830
_cell_angle_alpha 90.00
_cell_angle_beta 96.06
_cell_angle_gamma 90.00
_symmetry_space_group_name_H-M 'P 1 m 1'
_symmetry_Int_Tables_number 6
_symmetry_space_group_name_Hall 'P -2y'
loop_
_atom_site_label
_atom_site_type_symbol
_atom_site_fract_x
_atom_site_fract_y
_atom_site_fract_z
Be1 Be 0.000 0.000 0.000
Tc1 Tc 0.521 0.500 0.135
Cl1 Cl 0.232 0.500 0.834
Cl2 Cl 0.614 0.000 0.366
```

Entry 3:
DFT (GGA-PBE) results for a geometry-optimized Rb3Ag12S5 structure.

Summary:
As for the total moment: 0.00 μB per cell. As for the uncorrected formation energy: 7.7 meV per atom. The energy comes out at -2.880 eV/atom.

```
data_Rb3Ag12S5
_chemical_formula_sum 'Rb24 Ag96 S40'
_cell_length_a 17.031
_cell_length_b 17.031
_cell_length_c 17.031
_cell_angle_alpha 90.00
_cell_angle_beta 90.00
_cell_angle_gamma 90.00
_symmetry_space_group_name_H-M 'I a -3 d'
_symmetry_Int_Tables_number 230
_symmetry_space_group_name_Hall '-I 4bd 2c 3'
loop_
_atom_site_label
_atom_site_type_symbol
_atom_site_fract_x
_atom_site_fract_y
_atom_site_fract_z
Rb1 Rb 0.000 0.250 0.125
Ag1 Ag 0.043 0.115 0.908
S1 S 0.000 0.000 0.000
S2 S 0.000 0.250 0.375
```